Entry 1:
Below is a relaxed structure of Nd3H2Se3, with properties calculated at the GGA-PBE level.

a b c (Å): 3.9991 5.8295 14.9315
angles (deg): 90.00 90.00 110.06
Closest atoms and distances in Å follow each position.
Fractional positions:
H  0.2318  0.4636  0.0951  2 Nd 2.30
H  0.7682  0.5364  0.9049  2 Nd 2.30
H  0.2318  0.4636  0.4049  2 Nd 2.30
H  0.7682  0.5364  0.5951  2 Nd 2.30
Se  0.9214  0.8429  0.4014  2 H 2.88, 7 Nd 3.15-3.18
Se  0.0786  0.1571  0.5986  2 H 2.88, 7 Nd 3.15-3.18
Se  0.0786  0.1571  0.9014  2 H 2.88, 7 Nd 3.15-3.18
Se  0.9214  0.8429  0.0986  2 H 2.88, 7 Nd 3.15-3.18
Se  0.3651  0.7302  0.7500  4 Nd 2.82-3.00
Se  0.6349  0.2698  0.2500  4 Nd 2.82-3.00
Nd  0.6380  0.2760  0.4387  2 H 2.30
Nd  0.6606  0.3212  0.7500  2 H 2.60
Nd  0.6380  0.2760  0.0613  2 H 2.30
Nd  0.3620  0.7240  0.9387  2 H 2.30
Nd  0.3620  0.7240  0.5613  2 H 2.30
Nd  0.3394  0.6788  0.2500  2 H 2.60

Values from the calculation:
**E_tot**: -5.327 eV per atom
**Fermi-level density of states**: 2.776 states/eV/f.u.
**Spin magnetization**: 0.0 Bohr magnetons per cell
**Space-group type**: Cmcm

---

Entry 2:
Below is a relaxed structure of Nd2H3Se, with properties calculated at the GGA-PBE level.

a b c (Å): 3.9599 3.9599 6.8194
angles (deg): 90.00 90.00 120.00
Closest atoms and distances in Å follow each position.
Fractional positions:
Se  0.0000  0.0000  0.0000  6 Nd 2.96
Nd  0.3333  0.6667  0.2768  4 H 2.37-2.41
Nd  0.6667  0.3333  0.7232  4 H 2.37-2.41
H  0.3333  0.6667  0.6296  4 Nd 2.37-2.41, 3 H 2.45
H  0.0000  0.0000  0.5000  6 H 2.45
H  0.6667  0.3333  0.3704  4 Nd 2.37-2.41, 3 H 2.45

Values from the calculation:
**E_tot**: -4.804 eV per atom
**Fermi-level density of states**: 1.776 states/eV/f.u.
**Spin magnetization**: 0.0 Bohr magnetons per cell
**Space-group type**: P-3m1

---

Entry 3:
Below is a relaxed structure of NdHSe, with properties calculated at the GGA-PBE level.

a b c (Å): 4.6592 4.6592 4.6592
angles (deg): 60.00 60.00 60.00
Closest atoms and distances in Å follow each position.
Fractional positions:
H  0.5000  0.5000  0.5000  4 Nd 2.85
Se  0.0000  0.0000  0.0000  4 Nd 2.85
Nd  0.2500  0.2500  0.2500  4 H 2.85, 4 Se 2.85

Values from the calculation:
**E_tot**: -4.937 eV per atom
**Fermi-level density of states**: 0.000 states/eV/f.u.
**Spin magnetization**: 0.0 Bohr magnetons per cell
**Space-group type**: F-43m

---

Entry 4:
Below is a relaxed structure of Nd3H2Se2, with properties calculated at the GGA-PBE level.

a b c (Å): 7.0364 7.9232 6.0664
angles (deg): 90.00 62.88 90.00
Closest atoms and distances in Å follow each position.
Fractional positions:
Se  0.4261  0.8316  0.8090  6 Nd 2.97-3.21, 1 H 3.13
Se  0.0739  0.3316  0.1910  6 Nd 2.97-3.21, 1 H 3.13
Se  0.5739  0.1684  0.1910  6 Nd 2.97-3.21, 1 H 3.13
Se  0.9261  0.6684  0.8090  6 Nd 2.97-3.21, 1 H 3.13
Nd  0.7931  0.6311  0.3872  3 H 2.37-2.53
Nd  0.0000  0.0000  0.0000  2 H 2.29
Nd  0.2069  0.3689  0.6128  3 H 2.37-2.53
Nd  0.7069  0.1311  0.6128  3 H 2.37-2.53
Nd  0.2931  0.8689  0.3872  3 H 2.37-2.53
Nd  0.5000  0.5000  0.0000  2 H 2.29
H  0.5421  0.3948  0.6293  4 Nd 2.29-2.53, 1 H 2.54
H  0.9579  0.8948  0.3707  4 Nd 2.29-2.53, 1 H 2.54
H  0.0421  0.1052  0.6293  4 Nd 2.29-2.53, 1 H 2.54
H  0.4579  0.6052  0.3707  4 Nd 2.29-2.53, 1 H 2.54

Values from the calculation:
**E_tot**: -5.113 eV per atom
**Fermi-level density of states**: 3.594 states/eV/f.u.
**Spin magnetization**: 0.0 Bohr magnetons per cell
**Space-group type**: P2_1/c

---

Entry 5:
Below is a relaxed structure of Nd4H2Se5, with properties calculated at the GGA-PBE level.

a b c (Å): 4.2621 7.9372 11.0528
angles (deg): 127.89 101.12 90.00
Closest atoms and distances in Å follow each position.
Fractional positions:
Nd  0.0217  0.2877  0.0435  2 H 2.39
Nd  0.2871  0.3002  0.5743  1 H 2.35
Nd  0.9783  0.7123  0.9565  2 H 2.39
Nd  0.7129  0.6998  0.4257  1 H 2.35
H  0.5742  0.4531  0.1483  3 Nd 2.35-2.39
H  0.4258  0.5469  0.8517  3 Nd 2.35-2.39
Se  0.1727  0.3953  0.3455  4 Nd 2.82-3.01
Se  0.5000  0.0000  0.0000  2 H 2.88, 4 Nd 2.94
Se  0.8596  0.1905  0.7193  5 Nd 3.08-3.23, 2 H 3.09
Se  0.1404  0.8095  0.2807  5 Nd 3.08-3.23, 2 H 3.09
Se  0.8273  0.6047  0.6545  4 Nd 2.82-3.01

Values from the calculation:
**E_tot**: -5.362 eV per atom
**Spin magnetization**: 0.0 Bohr magnetons per cell
**Space-group type**: C2/m

---

Entry 6:
Below is a relaxed structure of NdHSe, with properties calculated at the GGA-PBE level.

a b c (Å): 4.0615 5.6707 6.7360
angles (deg): 102.92 90.00 110.98
Closest atoms and distances in Å follow each position.
Fractional positions:
Nd  0.9375  0.8750  0.2113  2 H 2.17-2.22
Nd  0.0625  0.1250  0.7887  2 H 2.17-2.22
H  0.8984  0.7968  0.5131  2 Nd 2.17-2.22, 1 H 2.20
H  0.1016  0.2032  0.4869  2 Nd 2.17-2.22, 1 H 2.20
Se  0.6478  0.2955  0.1393  5 Nd 2.99-3.14, 3 H 3.19-3.22, 1 Se 3.24
Se  0.3522  0.7045  0.8607  5 Nd 2.99-3.14, 3 H 3.19-3.22, 1 Se 3.24

Values from the calculation:
**E_tot**: -4.832 eV per atom
**Spin magnetization**: 0.0 Bohr magnetons per cell
**Space-group type**: C2/m

---

Entry 7:
Below is a relaxed structure of Nd3HSe2, with properties calculated at the GGA-PBE level.

a b c (Å): 5.9753 7.9850 7.9850
angles (deg): 119.04 90.00 90.00
Closest atoms and distances in Å follow each position.
Fractional positions:
H  0.0964  0.8196  0.8196  4 Nd 2.35-2.39
H  0.5964  0.1804  0.1804  4 Nd 2.35-2.39
Nd  0.9703  0.5545  0.8547  1 H 2.39
Nd  0.9703  0.8547  0.5545  1 H 2.39
Nd  0.4703  0.4455  0.1453  1 H 2.39
Nd  0.9789  0.0960  0.0960  2 H 2.35-2.39
Nd  0.4703  0.1453  0.4455  1 H 2.39
Nd  0.4789  0.9040  0.9040  2 H 2.35-2.39
Se  0.4710  0.5014  0.8131  5 Nd 2.90-3.02
Se  0.9710  0.1869  0.4986  5 Nd 2.90-3.02
Se  0.4710  0.8131  0.5014  5 Nd 2.90-3.02
Se  0.9710  0.4986  0.1869  5 Nd 2.90-3.02

Values from the calculation:
**E_tot**: -5.245 eV per atom
**Fermi-level density of states**: 4.755 states/eV/f.u.
**Spin magnetization**: 0.9 Bohr magnetons per cell
**Space-group type**: Cmc2_1

---

Entry 8:
Below is a relaxed structure of NdHSe, with properties calculated at the GGA-PBE level.

a b c (Å): 3.9500 3.9500 4.9182
angles (deg): 113.68 113.68 90.00
Closest atoms and distances in Å follow each position.
Fractional positions:
Se  0.0061  0.0061  0.0123  5 H 2.84-3.04, 5 Nd 2.99
Nd  0.6366  0.6366  0.2732  1 H 2.26
H  0.3573  0.3573  0.7145  1 Nd 2.26

Values from the calculation:
**E_tot**: -4.781 eV per atom
**Fermi-level density of states**: 0.503 states/eV/f.u.
**Spin magnetization**: 0.0 Bohr magnetons per cell
**Space-group type**: I4mm

---

Entry 9:
Below is a relaxed structure of Nd3HSe3, with properties calculated at the GGA-PBE level.

a b c (Å): 7.2091 7.2091 7.2717
angles (deg): 95.32 95.32 110.57
Closest atoms and distances in Å follow each position.
Fractional positions:
Nd  0.8978  0.8978  0.1890  2 H 2.38-2.47
Nd  0.1537  0.4610  0.3007  1 H 2.29
Nd  0.1022  0.1022  0.8110  2 H 2.38-2.47
Nd  0.8463  0.5390  0.6993  1 H 2.29
Nd  0.5390  0.8463  0.6993  1 H 2.29
Nd  0.4610  0.1537  0.3007  1 H 2.29
Se  0.6019  0.6019  0.3370  3 Nd 2.81-3.00, 1 Se 3.12
Se  0.2184  0.7816  0.0000  2 H 3.10, 6 Nd 3.11-3.27
Se  0.3981  0.3981  0.6630  3 Nd 2.81-3.00, 1 Se 3.12
Se  0.1608  0.8392  0.5000  6 Nd 2.95-3.11
Se  0.8392  0.1608  0.5000  6 Nd 2.95-3.11
Se  0.7816  0.2184  0.0000  2 H 3.10, 6 Nd 3.11-3.27
H  0.1881  0.1881  0.1402  4 Nd 2.29-2.47
H  0.8119  0.8119  0.8598  4 Nd 2.29-2.47

Values from the calculation:
**E_tot**: -5.452 eV per atom
**Fermi-level density of states**: 4.063 states/eV/f.u.
**Spin magnetization**: 0.0 Bohr magnetons per cell
**Space-group type**: C2/m

---

Entry 10:
Below is a relaxed structure of Nd4HSe5, with properties calculated at the GGA-PBE level.

a b c (Å): 4.1527 7.7397 10.1043
angles (deg): 112.63 101.86 90.00
Closest atoms and distances in Å follow each position.
Fractional positions:
Nd  0.0000  0.2471  0.0000  2 H 2.82, 4 Se 2.85-2.94
Nd  0.7193  0.2192  0.4387  6 Se 2.97
Nd  0.2807  0.7808  0.5613  6 Se 2.97
Nd  0.0000  0.7529  0.0000  2 H 2.82, 4 Se 2.85-2.94
Se  0.1616  0.9230  0.3232  4 Nd 2.94-2.97
Se  0.1615  0.3992  0.3231  4 Nd 2.94-2.97
Se  0.8385  0.6008  0.6769  4 Nd 2.94-2.97
Se  0.5000  0.5000  0.0000  4 Nd 2.85
Se  0.8384  0.0770  0.6768  4 Nd 2.94-2.97
H  0.5000  0.0000  0.0000  4 Nd 2.82

Values from the calculation:
**E_tot**: -5.498 eV per atom
**Fermi-level density of states**: 1.633 states/eV/f.u.
**Spin magnetization**: 0.0 Bohr magnetons per cell
**Space-group type**: C2/m

---

Entry 11:
Below is a relaxed structure of Nd5HSe4, with properties calculated at the GGA-PBE level.

a b c (Å): 4.1926 4.1926 14.8163
angles (deg): 98.13 98.13 90.00
Closest atoms and distances in Å follow each position.
Fractional positions:
Nd  0.3011  0.3011  0.6022  6 Se 2.89-3.04
Nd  0.5000  0.5000  0.0000  2 Se 2.88, 4 H 2.96
Nd  0.9096  0.9096  0.8193  1 H 2.62
Nd  0.0904  0.0904  0.1807  1 H 2.62
Nd  0.6989  0.6989  0.3978  6 Se 2.89-3.04
Se  0.5993  0.5993  0.1987  6 Nd 2.88-2.98
Se  0.8036  0.8036  0.6071  6 Nd 2.97-3.08
Se  0.1964  0.1964  0.3929  6 Nd 2.97-3.08
Se  0.4007  0.4007  0.8013  6 Nd 2.88-2.98
H  0.0000  0.0000  0.0000  2 Nd 2.62

Values from the calculation:
**E_tot**: -5.603 eV per atom
**Fermi-level density of states**: 4.963 states/eV/f.u.
**Spin magnetization**: 0.0 Bohr magnetons per cell
**Space-group type**: I4/mmm

---

Entry 12:
Below is a relaxed structure of NdHSe, with properties calculated at the GGA-PBE level.

a b c (Å): 4.0105 4.0105 7.9999
angles (deg): 90.00 90.00 120.00
Closest atoms and distances in Å follow each position.
Fractional positions:
Se  0.0000  0.0000  0.5000  6 H 3.06, 6 Nd 3.06
Se  0.0000  0.0000  0.0000  6 Nd 3.06, 6 H 3.06
Nd  0.6667  0.3333  0.7500  3 H 2.32
Nd  0.3333  0.6667  0.2500  3 H 2.32
H  0.3333  0.6667  0.7500  3 Nd 2.32
H  0.6667  0.3333  0.2500  3 Nd 2.32

Values from the calculation:
**E_tot**: -5.309 eV per atom
**Fermi-level density of states**: 0.000 states/eV/f.u.
**Spin magnetization**: 0.0 Bohr magnetons per cell
**Space-group type**: P6_3/mmc

---

Which value of spin magnetization does entry 2 give? 0.0 Bohr magnetons per cell

---

Which value of spin magnetization does entry 5 give? 0.0 Bohr magnetons per cell

---

What did the eleventh record say?
Below is a relaxed structure of Nd5HSe4, with properties calculated at the GGA-PBE level.

a b c (Å): 4.1926 4.1926 14.8163
angles (deg): 98.13 98.13 90.00
Closest atoms and distances in Å follow each position.
Fractional positions:
Nd  0.3011  0.3011  0.6022  6 Se 2.89-3.04
Nd  0.5000  0.5000  0.0000  2 Se 2.88, 4 H 2.96
Nd  0.9096  0.9096  0.8193  1 H 2.62
Nd  0.0904  0.0904  0.1807  1 H 2.62
Nd  0.6989  0.6989  0.3978  6 Se 2.89-3.04
Se  0.5993  0.5993  0.1987  6 Nd 2.88-2.98
Se  0.8036  0.8036  0.6071  6 Nd 2.97-3.08
Se  0.1964  0.1964  0.3929  6 Nd 2.97-3.08
Se  0.4007  0.4007  0.8013  6 Nd 2.88-2.98
H  0.0000  0.0000  0.0000  2 Nd 2.62

Values from the calculation:
**E_tot**: -5.603 eV per atom
**Fermi-level density of states**: 4.963 states/eV/f.u.
**Spin magnetization**: 0.0 Bohr magnetons per cell
**Space-group type**: I4/mmm